B3TeC | PBE | optimized geometry

a = 3.740 Å, b = 3.740 Å, c = 3.740 Å
α = 90.00°, β = 90.00°, γ = 90.00°
Fractional coordinates of all 5 atoms:
B: 0.000 0.000 0.500
B: 0.000 0.500 0.000
B: 0.500 0.000 0.000
Te: 0.500 0.500 0.500
C: 0.000 0.000 0.000

Summary:
**Symmetry**: No. 221
**Formation energy without anion corrections**: 1905 meV per atom
**E_tot**: -22.87 eV per formula unit